1.
Entry from Alexandria via LeMat-Bulk: a relaxed DyGa4Cu4 crystal (PBE-GGA).

The structure in CIF format:
```
data_DyGa4Cu4
_chemical_formula_sum 'Dy2 Ga8 Cu8'
_symmetry_space_group_name_H-M 'I 4/m'
_symmetry_Int_Tables_number 87
_symmetry_space_group_name_Hall '-I 4'
_cell_length_a 8.1593
_cell_length_b 8.1593
_cell_length_c 4.4443
_cell_angle_alpha 90.00
_cell_angle_beta 90.00
_cell_angle_gamma 90.00
loop_
_atom_site_label
_atom_site_fract_x
_atom_site_fract_y
_atom_site_fract_z
Dy1 0.0000 0.0000 0.0000
Ga1 0.0978 0.3667 0.0000
Cu1 0.1111 0.2093 0.5000
```

Results
Magnetization: 0.000 μB/atom
Theoretical density: 7.81 g/cm3
DFT formation energy: -0.164 eV/atom

=====

2.
Entry from Alexandria via LeMat-Bulk: a relaxed Dy2GaCu crystal (PBE-GGA).

The structure in CIF format:
```
data_Dy2GaCu
_chemical_formula_sum 'Dy2 Ga1 Cu1'
_symmetry_space_group_name_H-M 'P 4/m m m'
_symmetry_Int_Tables_number 123
_symmetry_space_group_name_Hall '-P 4 2'
_cell_length_a 3.4792
_cell_length_b 3.4792
_cell_length_c 7.2516
_cell_angle_alpha 90.00
_cell_angle_beta 90.00
_cell_angle_gamma 90.00
loop_
_atom_site_label
_atom_site_fract_x
_atom_site_fract_y
_atom_site_fract_z
Dy1 0.0000 0.0000 0.2404
Ga1 0.5000 0.5000 0.5000
Cu1 0.5000 0.5000 0.0000
```

Results
Magnetization: 0.000 μB/atom
Theoretical density: 8.67 g/cm3
DFT formation energy: -0.415 eV/atom

=====

3.
Entry from Alexandria via LeMat-Bulk: a relaxed Dy2GaCu6 crystal (PBE-GGA).

The structure in CIF format:
```
data_Dy2GaCu6
_chemical_formula_sum 'Dy2 Ga1 Cu6'
_symmetry_space_group_name_H-M 'P -3 m 1'
_symmetry_Int_Tables_number 164
_symmetry_space_group_name_Hall '-P 3 2"'
_cell_length_a 5.4801
_cell_length_b 5.4801
_cell_length_c 5.5949
_cell_angle_alpha 90.00
_cell_angle_beta 90.00
_cell_angle_gamma 120.00
loop_
_atom_site_label
_atom_site_fract_x
_atom_site_fract_y
_atom_site_fract_z
Dy1 0.3333 0.6667 0.1558
Ga1 0.0000 0.0000 0.0000
Cu1 0.1802 0.3604 0.6608
```

Results
Magnetization: 0.000 μB/atom
Theoretical density: 8.85 g/cm3
DFT formation energy: -0.247 eV/atom

=====

4.
Entry from Alexandria via LeMat-Bulk: a relaxed Dy3Ga8Cu3 crystal (PBE-GGA).

The structure in CIF format:
```
data_Dy3Ga8Cu3
_chemical_formula_sum 'Dy6 Ga16 Cu6'
_symmetry_space_group_name_H-M 'C 1 2/m 1'
_symmetry_Int_Tables_number 12
_symmetry_space_group_name_Hall '-C 2y'
_cell_length_a 15.5950
_cell_length_b 4.2365
_cell_length_c 9.5525
_cell_angle_alpha 90.00
_cell_angle_beta 127.27
_cell_angle_gamma 90.00
loop_
_atom_site_label
_atom_site_fract_x
_atom_site_fract_y
_atom_site_fract_z
Dy1 0.0000 0.0000 0.0000
Dy2 0.1960 0.5000 0.6867
Ga1 0.0007 0.5000 0.6919
Ga2 0.1449 0.0000 0.8624
Ga3 0.1472 0.0000 0.4227
Ga4 0.1540 0.5000 0.0408
Cu1 0.0000 0.0000 0.5000
Cu2 0.1547 0.5000 0.2960
```

Results
Energy above the lowest structure with this stoichiometry: 0.016 eV per atom
Magnetization: 0.000 μB/atom
Theoretical density: 8.17 g/cm3
DFT formation energy: -0.463 eV/atom

=====

5.
Entry from Alexandria via LeMat-Bulk: a relaxed DyGa2Cu8 crystal (PBE-GGA).

The structure in CIF format:
```
data_DyGa2Cu8
_chemical_formula_sum 'Dy1 Ga2 Cu8'
_symmetry_space_group_name_H-M 'P 4/m m m'
_symmetry_Int_Tables_number 123
_symmetry_space_group_name_Hall '-P 4 2'
_cell_length_a 6.2005
_cell_length_b 6.2005
_cell_length_c 4.7762
_cell_angle_alpha 90.00
_cell_angle_beta 90.00
_cell_angle_gamma 90.00
loop_
_atom_site_label
_atom_site_fract_x
_atom_site_fract_y
_atom_site_fract_z
Dy1 0.0000 0.0000 0.0000
Ga1 0.0000 0.5000 0.5000
Cu1 0.3023 0.3023 0.2483
```

Results
Magnetization: 0.000 μB/atom
Theoretical density: 7.33 g/cm3
DFT formation energy: 0.168 eV/atom

=====

6.
Entry from Alexandria via LeMat-Bulk: a relaxed Dy3GaCu4 crystal (PBE-GGA).

The structure in CIF format:
```
data_Dy3GaCu4
_chemical_formula_sum 'Dy6 Ga2 Cu8'
_symmetry_space_group_name_H-M 'I m m m'
_symmetry_Int_Tables_number 71
_symmetry_space_group_name_Hall '-I 2 2'
_cell_length_a 3.6954
_cell_length_b 5.7956
_cell_length_c 15.6486
_cell_angle_alpha 90.00
_cell_angle_beta 90.00
_cell_angle_gamma 90.00
loop_
_atom_site_label
_atom_site_fract_x
_atom_site_fract_y
_atom_site_fract_z
Dy1 0.0000 0.0000 0.0000
Dy2 0.0000 0.5000 0.2104
Ga1 0.0000 0.0000 0.5000
Cu1 0.0000 0.2872 0.3792
```

Results
Magnetization: 0.000 μB/atom
Theoretical density: 8.04 g/cm3
DFT formation energy: -0.108 eV/atom

=====

7.
Entry from Alexandria via LeMat-Bulk: a relaxed Dy2Ga9Cu crystal (PBE-GGA).

The structure in CIF format:
```
data_Dy2Ga9Cu
_chemical_formula_sum 'Dy2 Ga9 Cu1'
_symmetry_space_group_name_H-M 'P 4/m m m'
_symmetry_Int_Tables_number 123
_symmetry_space_group_name_Hall '-P 4 2'
_cell_length_a 4.2482
_cell_length_b 4.2482
_cell_length_c 12.2945
_cell_angle_alpha 90.00
_cell_angle_beta 90.00
_cell_angle_gamma 90.00
loop_
_atom_site_label
_atom_site_fract_x
_atom_site_fract_y
_atom_site_fract_z
Dy1 0.0000 0.0000 0.1781
Ga1 0.0000 0.5000 0.0000
Ga2 0.0000 0.5000 0.3580
Ga3 0.5000 0.5000 0.1631
Ga4 0.5000 0.5000 0.5000
Cu1 0.0000 0.0000 0.5000
```

Results
Magnetization: 0.000 μB/atom
Theoretical density: 7.60 g/cm3
DFT formation energy: -0.336 eV/atom

=====

8.
Entry from Alexandria via LeMat-Bulk: a relaxed DyGa8Cu2 crystal (PBE-GGA).

The structure in CIF format:
```
data_DyGa8Cu2
_chemical_formula_sum 'Dy1 Ga8 Cu2'
_symmetry_space_group_name_H-M 'P 4/m m m'
_symmetry_Int_Tables_number 123
_symmetry_space_group_name_Hall '-P 4 2'
_cell_length_a 6.3258
_cell_length_b 6.3258
_cell_length_c 5.4639
_cell_angle_alpha 90.00
_cell_angle_beta 90.00
_cell_angle_gamma 90.00
loop_
_atom_site_label
_atom_site_fract_x
_atom_site_fract_y
_atom_site_fract_z
Dy1 0.0000 0.0000 0.0000
Ga1 0.2895 0.2895 0.2501
Cu1 0.0000 0.5000 0.5000
```

Results
Magnetization: 0.000 μB/atom
Theoretical density: 6.44 g/cm3
DFT formation energy: -0.016 eV/atom

=====

9.
Entry from Alexandria via LeMat-Bulk: a relaxed Dy6Ga2Cu crystal (PBE-GGA).

The structure in CIF format:
```
data_Dy6Ga2Cu
_chemical_formula_sum 'Dy12 Ga4 Cu2'
_symmetry_space_group_name_H-M 'I m m m'
_symmetry_Int_Tables_number 71
_symmetry_space_group_name_Hall '-I 2 2'
_cell_length_a 4.9005
_cell_length_b 6.9779
_cell_length_c 14.7206
_cell_angle_alpha 90.00
_cell_angle_beta 90.00
_cell_angle_gamma 90.00
loop_
_atom_site_label
_atom_site_fract_x
_atom_site_fract_y
_atom_site_fract_z
Dy1 0.0000 0.2422 0.0000
Dy2 0.0000 0.2546 0.3363
Ga1 0.0000 0.5000 0.1670
Cu1 0.0000 0.5000 0.5000
```

Results
Magnetization: 0.000 μB/atom
Theoretical density: 7.77 g/cm3
DFT formation energy: -0.145 eV/atom

=====

10.
Entry from Alexandria via LeMat-Bulk: a relaxed DyGa3Cu crystal (PBE-GGA).

The structure in CIF format:
```
data_DyGa3Cu
_chemical_formula_sum 'Dy2 Ga6 Cu2'
_symmetry_space_group_name_H-M 'P 1 21/m 1'
_symmetry_Int_Tables_number 11
_symmetry_space_group_name_Hall '-P 2yb'
_cell_length_a 5.5133
_cell_length_b 5.7742
_cell_length_c 5.6257
_cell_angle_alpha 90.00
_cell_angle_beta 91.83
_cell_angle_gamma 90.00
loop_
_atom_site_label
_atom_site_fract_x
_atom_site_fract_y
_atom_site_fract_z
Dy1 0.1558 0.2500 0.1696
Ga1 0.0681 0.7500 0.3403
Ga2 0.3471 0.0054 0.6758
Cu1 0.3620 0.7500 0.0335
```

Results
Energy above the lowest structure with this stoichiometry: 0.045 eV per atom
Magnetization: 0.000 μB/atom
Theoretical density: 8.07 g/cm3
DFT formation energy: -0.430 eV/atom

=====

11.
Entry from Alexandria via LeMat-Bulk: a relaxed Dy3Ga2Cu3 crystal (PBE-GGA).

The structure in CIF format:
```
data_Dy3Ga2Cu3
_chemical_formula_sum 'Dy12 Ga8 Cu12'
_symmetry_space_group_name_H-M 'P n m a'
_symmetry_Int_Tables_number 62
_symmetry_space_group_name_Hall '-P 2ac 2n'
_cell_length_a 7.3481
_cell_length_b 14.9463
_cell_length_c 5.8256
_cell_angle_alpha 90.00
_cell_angle_beta 90.00
_cell_angle_gamma 90.00
loop_
_atom_site_label
_atom_site_fract_x
_atom_site_fract_y
_atom_site_fract_z
Dy1 0.0183 0.1076 0.1465
Dy2 0.1624 0.2500 0.6158
Ga1 0.1282 0.6050 0.3529
Cu1 0.1737 0.0336 0.5782
Cu2 0.2020 0.7500 0.6168
```

Results
Magnetization: 0.000 μB/atom
Theoretical density: 8.49 g/cm3
DFT formation energy: -0.397 eV/atom

=====

12.
Entry from Alexandria via LeMat-Bulk: a relaxed Dy3Ga5Cu6 crystal (PBE-GGA).

The structure in CIF format:
```
data_Dy3Ga5Cu6
_chemical_formula_sum 'Dy6 Ga10 Cu12'
_symmetry_space_group_name_H-M 'I m m m'
_symmetry_Int_Tables_number 71
_symmetry_space_group_name_Hall '-I 2 2'
_cell_length_a 4.2987
_cell_length_b 8.7231
_cell_length_c 12.5688
_cell_angle_alpha 90.00
_cell_angle_beta 90.00
_cell_angle_gamma 90.00
loop_
_atom_site_label
_atom_site_fract_x
_atom_site_fract_y
_atom_site_fract_z
Dy1 0.0000 0.0000 0.0000
Dy2 0.0000 0.0000 0.3009
Ga1 0.0000 0.3545 0.3382
Ga2 0.0000 0.5000 0.0000
Cu1 0.0000 0.1871 0.5000
Cu2 0.0000 0.2809 0.1316
```

Results
Magnetization: 0.000 μB/atom
Theoretical density: 8.58 g/cm3
DFT formation energy: -0.435 eV/atom